1.
Below is a relaxed AgHgBiCl6 crystal, with properties calculated at the GGA-PBE level.

Calculated values
The value obtained for the total energy is -49.01 eV per cell. The density of states at the Fermi level comes out at 0.00 states/eV per cell. The calculation puts the uncorrected formation energy at -6.4 eV/f.u.

a = 6.8893 Å, b = 6.8893 Å, c = 12.2819 Å
α = 90.00°, β = 90.00°, γ = 120.00°
Space group P-31c (No. 163)
One atom of each set of equivalent atoms:
Ag  0.0000  0.0000  0.0000 (multiplicity 2)
Hg  0.3333  0.6667  0.2500 (multiplicity 2)
Bi  0.3333  0.6667  0.7500 (multiplicity 2)
Cl  0.0022  0.3423  0.1255 (multiplicity 12)

=====

2.
Below is a relaxed Sm15ErIn4 crystal, with properties calculated at the GGA-PBE level.

Calculated values
For the formation energy from the elements, the calculation gives -0.208 eV/atom. The value obtained for the total energy is -90.46 eV per cell. The density of states at the Fermi level comes out at 29.49 states/eV per cell.

a = 4.937 Å, b = 4.937 Å, c = 25.112 Å
α = 90.00°, β = 90.00°, γ = 90.00°
Space group P4/mmm (No. 123)
One atom of each set of equivalent atoms:
Sm  0.000  0.000  0.000 (multiplicity 1)
Sm  0.000  0.000  0.204 (multiplicity 2)
Sm  0.000  0.000  0.401 (multiplicity 2)
Sm  0.000  0.500  0.104 (multiplicity 4)
Sm  0.000  0.500  0.302 (multiplicity 4)
Sm  0.000  0.500  0.500 (multiplicity 2)
Er  0.500  0.500  0.000 (multiplicity 1)
In  0.500  0.500  0.205 (multiplicity 2)
In  0.500  0.500  0.401 (multiplicity 2)

=====

3.
Below is a relaxed BaInAg2Te4 crystal, with properties calculated at the GGA-PBE level.

Calculated values
The value obtained for the total energy is -54.78 eV per cell. The density of states at the Fermi level comes out at 6.26 states/eV per cell. The calculation puts the uncorrected formation energy at -4.5 eV/f.u.

a = 7.824 Å, b = 7.825 Å, c = 8.903 Å
α = 90.00°, β = 90.00°, γ = 90.00°
Space group I222 (No. 23)
One atom of each set of equivalent atoms:
Ba  0.000  0.000  0.000 (multiplicity 2)
In  0.000  0.000  0.500 (multiplicity 2)
Ag  0.000  0.500  0.249 (multiplicity 4)
Te  0.208  0.208  0.311 (multiplicity 8)

=====

4.
Below is a relaxed TaCr2Ag crystal, with properties calculated at the GGA-PBE level.

Calculated values
For the formation energy from the elements, the calculation gives 0.408 eV/atom. The value obtained for the energy above the most stable polymorph in this dataset is 0.1435 eV/atom. The value obtained for the total energy is -64.63 eV per cell. The density of states at the Fermi level comes out at 8.37 states/eV per cell.

a = 3.122 Å, b = 4.408 Å, c = 8.624 Å
α = 90.00°, β = 90.00°, γ = 90.00°
Space group Imm2 (No. 44)
One atom of each set of equivalent atoms:
Ta  0.000  0.000  0.000 (multiplicity 2)
Cr  0.000  0.000  0.539 (multiplicity 2)
Cr  0.000  0.500  0.236 (multiplicity 2)
Ag  0.000  0.500  0.776 (multiplicity 2)

=====

5.
Below is a relaxed Ac4RuS2Cl crystal, with properties calculated at the GGA-PBE level.

Calculated values
The value obtained for the total energy is -46.73 eV per cell. The density of states at the Fermi level comes out at 6.26 states/eV per cell. The calculation puts the uncorrected formation energy at -10.9 eV/f.u.

a = 7.625 Å, b = 4.257 Å, c = 7.641 Å
α = 90.00°, β = 107.77°, γ = 90.00°
Space group P2/m (No. 10)
One atom of each set of equivalent atoms:
Ac  0.230  0.000  0.238 (multiplicity 2)
Ac  0.230  0.500  0.745 (multiplicity 2)
Ru  0.000  0.500  0.000 (multiplicity 1)
S  0.000  0.000  0.500 (multiplicity 1)
S  0.500  0.500  0.500 (multiplicity 1)
Cl  0.500  0.000  0.000 (multiplicity 1)

=====

6.
Below is a relaxed KAgBr2 crystal, with properties calculated at the GGA-PBE level.

Calculated values
The value obtained for the total energy is -10.69 eV per cell. The density of states at the Fermi level comes out at 0.00 states/eV per cell. The calculation puts the uncorrected formation energy at -3.4 eV/f.u.

a = 3.774 Å, b = 3.774 Å, c = 7.690 Å
α = 90.00°, β = 90.00°, γ = 90.00°
Space group P4/mmm (No. 123)
One atom of each set of equivalent atoms:
K  0.000  0.000  0.000 (multiplicity 1)
Ag  0.000  0.000  0.500 (multiplicity 1)
Br  0.500  0.500  0.270 (multiplicity 2)

=====

7.
Below is a relaxed ReS crystal, with properties calculated at the GGA-PBE level.

Calculated values
The value obtained for the energy above the most stable polymorph in this dataset is 0.0497 eV/atom. The value obtained for the total energy is -99.69 eV per cell. The density of states at the Fermi level comes out at 9.72 states/eV per cell. The calculation puts the uncorrected formation energy at 0.0 eV/f.u.

a = 8.9423 Å, b = 8.9423 Å, c = 3.0657 Å
α = 90.00°, β = 90.00°, γ = 120.00°
Space group P6_3/m (No. 176)
One atom of each set of equivalent atoms:
Re  0.1396  0.6321  0.2500 (multiplicity 6)
S  0.0462  0.3371  0.2500 (multiplicity 6)

=====

8.
Below is a relaxed LiTcRu2 crystal, with properties calculated at the GGA-PBE level.

Calculated values
For the formation energy from the elements, the calculation gives 0.254 eV/atom. The value obtained for the energy above the most stable polymorph in this dataset is 0.1553 eV/atom. The value obtained for the total energy is -59.63 eV per cell. The density of states at the Fermi level comes out at 7.79 states/eV per cell.

a = 3.637 Å, b = 3.637 Å, c = 8.153 Å
α = 90.00°, β = 90.00°, γ = 90.00°
Space group I-4m2 (No. 119)
One atom of each set of equivalent atoms:
Li  0.000  0.000  0.000 (multiplicity 2)
Tc  0.000  0.500  0.250 (multiplicity 2)
Ru  0.000  0.000  0.500 (multiplicity 2)
Ru  0.000  0.500  0.750 (multiplicity 2)

=====

9.
Below is a relaxed BaReP2 crystal, with properties calculated at the GGA-PBE level.

Calculated values
For the formation energy from the elements, the calculation gives -0.107 eV/atom. The value obtained for the total energy is -51.24 eV per cell. The density of states at the Fermi level comes out at 4.82 states/eV per cell.

a = 4.107 Å, b = 6.354 Å, c = 7.558 Å
α = 90.00°, β = 90.00°, γ = 90.00°
Space group Immm (No. 71)
One atom of each set of equivalent atoms:
Ba  0.000  0.000  0.000 (multiplicity 2)
Re  0.000  0.000  0.500 (multiplicity 2)
P  0.000  0.500  0.152 (multiplicity 4)

=====

10.
Below is a relaxed TcWN crystal, with properties calculated at the GGA-PBE level.

Calculated values
The value obtained for the energy above the most stable polymorph in this dataset is 0.0155 eV/atom. The value obtained for the total energy is -128.00 eV per cell. The density of states at the Fermi level comes out at 4.79 states/eV per cell. The calculation puts the uncorrected formation energy at -0.4 eV/f.u.

a = 10.296 Å, b = 2.859 Å, c = 5.885 Å
α = 90.00°, β = 124.03°, γ = 90.00°
Space group Cm (No. 8)
One atom of each set of equivalent atoms:
Tc  0.000  0.000  0.000 (multiplicity 2)
Tc  0.058  0.500  0.675 (multiplicity 2)
W  0.261  0.000  0.539 (multiplicity 2)
W  0.303  0.000  0.084 (multiplicity 2)
N  0.071  0.500  0.323 (multiplicity 2)
N  0.357  0.500  0.398 (multiplicity 2)

=====

11.
Below is a relaxed NaTl14Pb crystal, with properties calculated at the GGA-PBE level.

Calculated values
For the formation energy from the elements, the calculation gives -0.015 eV/atom. The value obtained for the total energy is -76.78 eV per cell. The density of states at the Fermi level comes out at 11.80 states/eV per cell.

a = 11.074 Å, b = 7.858 Å, c = 11.222 Å
α = 90.00°, β = 90.00°, γ = 90.00°
Space group Amm2 (No. 38)
One atom of each set of equivalent atoms:
Na  0.000  0.000  0.000 (multiplicity 2)
Tl  0.000  0.231  0.741 (multiplicity 4)
Tl  0.238  0.000  0.274 (multiplicity 4)
Tl  0.249  0.242  0.529 (multiplicity 8)
Tl  0.255  0.000  0.782 (multiplicity 4)
Tl  0.500  0.000  0.001 (multiplicity 2)
Tl  0.500  0.000  0.510 (multiplicity 2)
Tl  0.500  0.239  0.256 (multiplicity 4)
Pb  0.000  0.000  0.482 (multiplicity 2)

=====

12.
Below is a relaxed PmEr3Hg2 crystal, with properties calculated at the GGA-PBE level.

Calculated values
For the formation energy from the elements, the calculation gives -0.313 eV/atom. The value obtained for the energy above the most stable polymorph in this dataset is 0.0399 eV/atom. The value obtained for the total energy is -20.92 eV per cell. The density of states at the Fermi level comes out at 6.01 states/eV per cell.

a = 3.673 Å, b = 3.673 Å, c = 12.327 Å
α = 90.00°, β = 90.00°, γ = 90.00°
Space group P4/mmm (No. 123)
One atom of each set of equivalent atoms:
Pm  0.000  0.000  0.000 (multiplicity 1)
Er  0.500  0.500  0.201 (multiplicity 2)
Er  0.500  0.500  0.500 (multiplicity 1)
Hg  0.000  0.000  0.349 (multiplicity 2)

=====

13.
Below is a relaxed YTl2Pb crystal, with properties calculated at the GGA-PBE level.

Calculated values
For the formation energy from the elements, the calculation gives -0.228 eV/atom. The value obtained for the total energy is -31.63 eV per cell. The density of states at the Fermi level comes out at 5.16 states/eV per cell.

a = 4.628 Å, b = 4.628 Å, c = 10.430 Å
α = 90.00°, β = 90.00°, γ = 90.00°
Space group I-4m2 (No. 119)
One atom of each set of equivalent atoms:
Y  0.000  0.000  0.000 (multiplicity 2)
Tl  0.000  0.000  0.500 (multiplicity 2)
Tl  0.000  0.500  0.750 (multiplicity 2)
Pb  0.000  0.500  0.250 (multiplicity 2)